{
  "formula": "Pd3RhPb",
  "functional": "PBE",
  "state": "optimized geometry",
  "lattice": [[4.8640, 0.0000, 0.0000], [0.0000, 4.8640, 0.0000], [0.0000, 0.0000, 4.8640]],
  "species": ["Pd", "Pd", "Pd", "Rh", "Pb"],
  "frac_coords": [[0.0000, 0.0000, 0.5000], [0.0000, 0.5000, 0.0000], [0.5000, 0.0000, 0.0000], [0.0000, 0.0000, 0.0000], [0.5000, 0.5000, 0.5000]],
  "de_polymorph_kj_per_mol_atoms": 0.0
}


{
  "formula": "KMg2Tl2In",
  "functional": "PBE",
  "state": "optimized geometry",
  "lattice": [[6.9474, 0.0000, 0.0000], [0.0000, 9.5079, 0.0000], [0.0000, 0.0000, 5.3092]],
  "species": ["K", "K", "Mg", "Mg", "Mg", "Mg", "Tl", "Tl", "Tl", "Tl", "In", "In"],
  "frac_coords": [[0.0000, 0.0000, 0.0000], [0.5000, 0.5000, 0.5000], [0.1781, 0.3677, 0.0000], [0.3219, 0.8677, 0.5000], [0.6781, 0.1323, 0.5000], [0.8219, 0.6323, 0.0000], [0.2052, 0.1881, 0.5000], [0.2948, 0.6881, 0.0000], [0.7052, 0.3119, 0.0000], [0.7948, 0.8119, 0.5000], [0.0000, 0.5000, 0.5000], [0.5000, 0.0000, 0.0000]]
}


{
  "formula": "Fe23C6",
  "functional": "PBE",
  "state": "optimized geometry",
  "lattice": [[0.0000, 5.2366, 5.2366], [5.2366, 0.0000, 5.2366], [5.2366, 5.2366, 0.0000]],
  "species": ["Fe", "Fe", "Fe", "Fe", "Fe", "Fe", "Fe", "Fe", "Fe", "Fe", "Fe", "Fe", "Fe", "Fe", "Fe", "Fe", "Fe", "Fe", "Fe", "Fe", "Fe", "Fe", "Fe", "C", "C", "C", "C", "C", "C"],
  "frac_coords": [[0.0000, 0.0000, 0.0000], [0.0000, 0.0000, 0.3389], [0.0000, 0.0000, 0.6611], [0.0000, 0.3389, 0.0000], [0.0000, 0.3389, 0.6611], [0.0000, 0.6611, 0.0000], [0.0000, 0.6611, 0.3389], [0.1508, 0.6164, 0.6164], [0.2500, 0.2500, 0.2500], [0.3389, 0.0000, 0.0000], [0.3389, 0.0000, 0.6611], [0.3389, 0.6611, 0.0000], [0.3836, 0.3836, 0.3836], [0.3836, 0.3836, 0.8492], [0.3836, 0.8492, 0.3836], [0.6164, 0.1508, 0.6164], [0.6164, 0.6164, 0.1508], [0.6164, 0.6164, 0.6164], [0.6611, 0.0000, 0.0000], [0.6611, 0.0000, 0.3389], [0.6611, 0.3389, 0.0000], [0.7500, 0.7500, 0.7500], [0.8492, 0.3836, 0.3836], [0.2775, 0.2775, 0.7225], [0.2775, 0.7225, 0.2775], [0.2775, 0.7225, 0.7225], [0.7225, 0.2775, 0.2775], [0.7225, 0.2775, 0.7225], [0.7225, 0.7225, 0.2775]]
}


The following DFT formation energy values (in kJ/mol of atoms) correspond, in order, to the records above: 75.86, 1.66, 4.64.